Computed, not measured: crystalline Ca2TaW at its relaxed geometry at the PBE-GGA level of DFT.

Cell lengths 7.252, 7.252, 7.252 Å; angles 90.00, 90.00, 90.00 degrees
Element x y z (fractional)
Ca: 0.250 0.250 0.250
Ca: 0.250 0.250 0.750
Ca: 0.250 0.750 0.250
Ca: 0.250 0.750 0.750
Ca: 0.750 0.250 0.250
Ca: 0.750 0.250 0.750
Ca: 0.750 0.750 0.250
Ca: 0.750 0.750 0.750
Ta: 0.000 0.000 0.000
Ta: 0.000 0.500 0.500
Ta: 0.500 0.000 0.500
Ta: 0.500 0.500 0.000
W: 0.000 0.000 0.500
W: 0.000 0.500 0.000
W: 0.500 0.000 0.000
W: 0.500 0.500 0.500

Calculated values
energy relative to the lowest polymorph listed for this composition: 1026 meV/atom
formation energy: 1.43 eV per atom
crystal system: cubic